# 1
The following is a PBE calculation of TaNiOs4 after structural relaxation, from the Alexandria database.

## Properties
**Magnetic moment**: 0.000 Bohr magnetons per cell
**Space group**: F-43m
**Density of states at the Fermi level**: 9.7 states/eV/cell
**DFT formation energy**: 375 meV per atom

Lattice parameters (Å, degrees): 5.1073 5.1073 5.1073 60.00 60.00 60.00
Atoms (fractional coordinates):
Os  0.8767  0.3744  0.3744
Os  0.3744  0.3744  0.8767
Os  0.3744  0.3744  0.3744
Os  0.3744  0.8767  0.3744
Ta  0.7500  0.7500  0.7500
Ni  0.0000  0.0000  0.0000

# 2
The following is a PBE calculation of YTm2Se3 after structural relaxation, from the Alexandria database.

## Properties
**Magnetic moment**: 0.000 Bohr magnetons per cell
**Space group**: Immm
**E_form (uncorrected)**: -1692 meV per atom
**Density of states at the Fermi level**: 2.5 states/eV/cell

Lattice parameters (Å, degrees): 4.0629 5.6913 6.9877 114.03 106.90 90.00
Atoms (fractional coordinates):
Tm  0.1618  0.1618  0.8236
Tm  0.8382  0.8382  0.1764
Se  0.5000  0.0000  0.5000
Se  0.1719  0.6719  0.8437
Se  0.8281  0.3281  0.1563
Y  0.5000  0.5000  0.5000

# 3
The following is a PBE calculation of MgGaHgI2 after structural relaxation, from the Alexandria database.

## Properties
**Magnetic moment**: 0.000 Bohr magnetons per cell
**Space group**: P4/mmm
**E_form (uncorrected)**: 75 meV per atom
**Density of states at the Fermi level**: 1.1 states/eV/cell
**ΔE to the lowest computed polymorph**: 129 meV per atom

Lattice parameters (Å, degrees): 6.5270 5.1575 6.5270 90.00 90.00 90.00
Atoms (fractional coordinates):
Hg  0.0000  0.0000  0.0000
I  0.0000  0.0000  0.5000
I  0.5000  0.0000  0.0000
Ga  0.5000  0.5000  0.5000
Mg  0.0000  0.5000  0.0000